Version i
An optimized crystal structure of Mg4Sc, computed with PBE.

Unit cell a=13.3361 b=13.3361 c=13.3361 alpha=13.77 beta=13.77 gamma=13.77
Last column: nearest neighbours and their distance in Å.
Element x y z (fractional)
Mg 0.1003 0.1003 0.1003  9 Mg 3.20-3.23, 3 Sc 3.21
Mg 0.2998 0.2998 0.2998  12 Mg 3.20-3.23
Mg 0.7002 0.7002 0.7002  12 Mg 3.20-3.23
Mg 0.8997 0.8997 0.8997  9 Mg 3.20-3.23, 3 Sc 3.21
Sc 0.5000 0.5000 0.5000  6 Sc 3.20, 6 Mg 3.21



Version ii
An optimized crystal structure of Mg4Sc, computed with PBE.

Unit cell a=6.0210 b=6.0210 c=6.0210 alpha=109.47 beta=109.47 gamma=109.47
Last column: nearest neighbours and their distance in Å.
Element x y z (fractional)
Mg 0.0000 0.0000 0.5000  2 Sc 3.01
Mg 0.0000 0.5000 0.0000  2 Sc 3.01
Mg 0.5000 0.0000 0.0000  2 Sc 3.01
Mg 0.5000 0.5000 0.5000  2 Sc 3.01
Sc 0.0000 0.0000 0.0000  8 Mg 3.01



Version iii
An optimized crystal structure of Mg4Sc, computed with PBE.

Unit cell a=7.6833 b=7.6833 c=7.6833 alpha=148.68 beta=148.68 gamma=44.88
Last column: nearest neighbours and their distance in Å.
Element x y z (fractional)
Mg 0.0973 0.0973 0.0000  5 Mg 2.76-3.00
Mg 0.2500 0.7500 0.5000  8 Mg 2.93-3.00
Mg 0.7500 0.2500 0.5000  8 Mg 2.93-3.00
Mg 0.9027 0.9027 0.0000  5 Mg 2.76-3.00
Sc 0.5000 0.5000 0.0000  8 Mg 3.24



Version iv
An optimized crystal structure of Mg4Sc, computed with PBE.

Unit cell a=5.5859 b=5.5859 c=5.5859 alpha=90.00 beta=90.00 gamma=90.00
Last column: nearest neighbours and their distance in Å.
Element x y z (fractional)
Mg 0.0000 0.0000 0.0000  12 Mg 3.95
Mg 0.0000 0.5000 0.5000  2 Sc 2.79
Mg 0.5000 0.0000 0.5000  2 Sc 2.79
Mg 0.5000 0.5000 0.0000  2 Sc 2.79
Sc 0.5000 0.5000 0.5000  6 Mg 2.79



Most stable: version i (next structure +151 meV per atom)



Version i
An optimized crystal structure of Mg8Sc, computed with PBE.

Unit cell a=7.0658 b=7.0658 c=7.0658 alpha=96.21 beta=96.21 gamma=141.59
Last column: nearest neighbours and their distance in Å.
Element x y z (fractional)
Mg 0.0000 0.3344 0.3344  11 Mg 3.13-3.22, 1 Sc 3.16
Mg 0.0000 0.6656 0.6656  11 Mg 3.13-3.22, 1 Sc 3.16
Mg 0.3331 0.3331 0.6661  10 Mg 3.14-3.22, 2 Sc 3.22
Mg 0.3331 0.6669 0.0000  10 Mg 3.14-3.22, 2 Sc 3.22
Mg 0.3344 0.0000 0.3344  11 Mg 3.13-3.22, 1 Sc 3.16
Mg 0.6656 0.0000 0.6656  11 Mg 3.13-3.22, 1 Sc 3.16
Mg 0.6669 0.3331 0.0000  10 Mg 3.14-3.22, 2 Sc 3.22
Mg 0.6669 0.6669 0.3339  10 Mg 3.14-3.22, 2 Sc 3.22
Sc 0.0000 0.0000 0.0000  12 Mg 3.16-3.22



Version ii
An optimized crystal structure of Mg8Sc, computed with PBE.

Unit cell a=7.7236 b=7.7236 c=7.7236 alpha=93.23 beta=93.23 gamma=152.55
Last column: nearest neighbours and their distance in Å.
Element x y z (fractional)
Mg 0.0000 0.3300 0.3300  8 Mg 3.08-3.14
Mg 0.0000 0.6700 0.6700  8 Mg 3.08-3.14
Mg 0.3300 0.0000 0.3300  8 Mg 3.08-3.14
Mg 0.3328 0.3328 0.6656  6 Mg 3.08-3.09, 2 Sc 3.11
Mg 0.3328 0.6672 0.0000  6 Mg 3.08-3.09, 2 Sc 3.11
Mg 0.6672 0.3328 0.0000  6 Mg 3.08-3.09, 2 Sc 3.11
Mg 0.6672 0.6672 0.3344  6 Mg 3.08-3.09, 2 Sc 3.11
Mg 0.6700 0.0000 0.6700  8 Mg 3.08-3.14
Sc 0.0000 0.0000 0.0000  8 Mg 3.11



Most stable: version i (next structure +10 meV per atom)



Version i
An optimized crystal structure of Mg3Sc2, computed with PBE.

Unit cell a=6.1482 b=8.1680 c=9.4631 alpha=90.00 beta=90.00 gamma=90.00
Last column: nearest neighbours and their distance in Å.
Element x y z (fractional)
Mg 0.0000 0.1453 0.2500  4 Mg 2.91-3.00, 4 Sc 3.15-3.18
Mg 0.0000 0.8547 0.7500  4 Mg 2.91-3.00, 4 Sc 3.15-3.18
Mg 0.1366 0.4674 0.1264  4 Mg 2.88-3.00, 3 Sc 3.08-3.21
Mg 0.1366 0.5326 0.6264  4 Mg 2.88-3.00, 3 Sc 3.08-3.21
Mg 0.3634 0.0326 0.6264  4 Mg 2.88-3.00, 3 Sc 3.08-3.21
Mg 0.3634 0.9674 0.1264  4 Mg 2.88-3.00, 3 Sc 3.08-3.21
Mg 0.5000 0.3547 0.7500  4 Mg 2.91-3.00, 4 Sc 3.15-3.18
Mg 0.5000 0.6453 0.2500  4 Mg 2.91-3.00, 4 Sc 3.15-3.18
Mg 0.6366 0.0326 0.8736  4 Mg 2.88-3.00, 3 Sc 3.08-3.21
Mg 0.6366 0.9674 0.3736  4 Mg 2.88-3.00, 3 Sc 3.08-3.21
Mg 0.8634 0.4674 0.3736  4 Mg 2.88-3.00, 3 Sc 3.08-3.21
Mg 0.8634 0.5326 0.8736  4 Mg 2.88-3.00, 3 Sc 3.08-3.21
Sc 0.1158 0.1835 0.9125  8 Mg 3.08-3.34, 1 Sc 3.39
Sc 0.1158 0.8165 0.4125  8 Mg 3.08-3.34, 1 Sc 3.39
Sc 0.3842 0.3165 0.4125  8 Mg 3.08-3.34, 1 Sc 3.39
Sc 0.3842 0.6835 0.9125  8 Mg 3.08-3.34, 1 Sc 3.39
Sc 0.6158 0.3165 0.0875  8 Mg 3.08-3.34, 1 Sc 3.39
Sc 0.6158 0.6835 0.5875  8 Mg 3.08-3.34, 1 Sc 3.39
Sc 0.8842 0.1835 0.5875  8 Mg 3.08-3.34, 1 Sc 3.39
Sc 0.8842 0.8165 0.0875  8 Mg 3.08-3.34, 1 Sc 3.39



Version ii
An optimized crystal structure of Mg3Sc2, computed with PBE.

Unit cell a=14.2641 b=5.5720 c=15.1552 alpha=70.18 beta=21.56 gamma=88.26
Last column: nearest neighbours and their distance in Å.
Element x y z (fractional)
Mg 0.0000 0.0000 0.0000  6 Mg 3.11-3.36, 6 Sc 3.14-3.43
Mg 0.2500 0.2500 0.2500  6 Mg 3.11-3.36, 6 Sc 3.14-3.43
Mg 0.3402 0.4996 0.4606  6 Mg 3.11-3.36, 4 Sc 3.14-3.40
Mg 0.4996 0.3402 0.6996  6 Mg 3.11-3.36, 4 Sc 3.14-3.40
Mg 0.5504 0.7894 0.7504  6 Mg 3.11-3.36, 4 Sc 3.14-3.40
Mg 0.7894 0.5504 0.9098  6 Mg 3.11-3.36, 4 Sc 3.14-3.40
Sc 0.0311 0.6530 0.3715  4 Sc 3.11-3.18, 7 Mg 3.14-3.43
Sc 0.3056 0.8785 0.5970  4 Sc 3.11-3.18, 7 Mg 3.14-3.43
Sc 0.6530 0.0311 0.9444  4 Sc 3.11-3.18, 7 Mg 3.14-3.43
Sc 0.8785 0.3056 0.2189  4 Sc 3.11-3.18, 7 Mg 3.14-3.43



Most stable: version ii (next structure +32 meV per atom)